Record 1
DFT (PBE) results for crystalline Ce2US6 at its relaxed geometry.

The structure belongs to space group Immm (No. 71); the cell edges are 4.6338, 6.5410 and 13.7621 Å and the angles 90.00°, 90.00° and 90.00°. The inequivalent atoms are Ce at (0.0000, 0.0000, 0.1666), U at (0.0000, 0.0000, 0.5000), S at (0.0000, 0.2462, 0.3378) and S at (0.0000, 0.2617, 0.0000).

For the density of states at the Fermi level, the calculation gives 1.615 states/eV per atom. The calculation puts the calculated density at 5.66 g/cm3. The calculation puts the volume at 23.17 Å³/atom. As for the uncorrected formation energy: -1.662 eV per atom. As for the magnetization: 2.08 μB/f.u. For the total energy, the calculation gives -6.986 eV/atom. Its energy above the most stable polymorph in this dataset is 0.000 eV per atom.



Record 2
DFT (PBE) results for crystalline Na3As2Se4 at its relaxed geometry.

The structure belongs to space group C2/c (No. 15); the cell edges are 14.8375, 7.9155 and 9.4259 Å and the angles 90.00°, 95.34° and 90.00°. The inequivalent atoms are Na at (0.0000, 0.1637, 0.2500), Na at (0.1278, 0.3510, 0.6786), As at (0.1852, 0.1465, 0.0091), Se at (0.0614, 0.3384, 0.9911) and Se at (0.1818, 0.0088, 0.2857).

For the density of states at the Fermi level, the calculation gives 0.288 states/eV per atom. The calculation puts the calculated density at 3.22 g/cm3. The calculation puts the volume at 30.62 Å³/atom. As for the uncorrected formation energy: -0.597 eV per atom. As for the magnetization: 0.00 μB/f.u. For the total energy, the calculation gives -3.619 eV/atom. Its energy above the most stable polymorph in this dataset is 0.000 eV per atom.



Record 3
DFT (PBE) results for crystalline Hg2Se at its relaxed geometry.

The structure belongs to space group Cm (No. 8); the cell edges are 11.4888, 2.8828 and 9.3810 Å and the angles 90.00°, 91.37° and 90.00°. The inequivalent atoms are Hg at (0.0000, 0.0000, 0.0000), Hg at (0.0037, 0.5000, 0.6518), Hg at (0.2520, 0.5000, 0.3325), Hg at (0.2583, 0.0000, 0.9995), Se at (0.0033, 0.5000, 0.3377) and Se at (0.2524, 0.0000, 0.6792).

For the density of states at the Fermi level, the calculation gives 0.207 states/eV per atom. The calculation puts the calculated density at 10.27 g/cm3. The calculation puts the volume at 25.88 Å³/atom. As for the uncorrected formation energy: 0.071 eV per atom. As for the magnetization: 0.00 μB/f.u. For the total energy, the calculation gives -1.291 eV/atom. Its energy above the most stable polymorph in this dataset is 0.163 eV per atom.



Record 4
DFT (PBE) results for crystalline Th11In9Ir4 at its relaxed geometry.

The structure belongs to space group Cmmm (No. 65); the cell edges are 14.9249, 22.5082 and 3.8325 Å and the angles 90.00°, 90.00° and 90.00°. The inequivalent atoms are Th at (0.0000, 0.0000, 0.0000), Th at (0.0000, 0.1553, 0.0000), Th at (0.0000, 0.3738, 0.0000), Th at (0.1876, 0.5000, 0.0000), Th at (0.2467, 0.1706, 0.0000), In at (0.0000, 0.5000, 0.5000), In at (0.1024, 0.2601, 0.5000), In at (0.1468, 0.0707, 0.5000) and Ir at (0.1537, 0.3999, 0.5000).

For the density of states at the Fermi level, the calculation gives 0.757 states/eV per atom. For the formation energy from the elements, the calculation gives -0.55 eV/atom. The calculation puts the calculated density at 11.23 g/cm3. The calculation puts the volume at 26.82 Å³/atom. As for the magnetization: 0.00 μB/f.u. For the total energy, the calculation gives -6.458 eV/atom.



Record 5
DFT (PBE) results for crystalline CeZn2Pd9 at its relaxed geometry.

The structure belongs to space group P4/mmm (No. 123); the cell edges are 4.0722, 4.0722 and 11.5995 Å and the angles 90.00°, 90.00° and 90.00°. The inequivalent atoms are Ce at (0.0000, 0.0000, 0.0000), Zn at (0.0000, 0.0000, 0.3450), Pd at (0.0000, 0.5000, 0.1788), Pd at (0.0000, 0.5000, 0.5000), Pd at (0.5000, 0.5000, 0.0000) and Pd at (0.5000, 0.5000, 0.3387).

For the density of states at the Fermi level, the calculation gives 1.138 states/eV per atom. For the formation energy from the elements, the calculation gives -0.47 eV/atom. The calculation puts the calculated density at 10.61 g/cm3. The calculation puts the volume at 16.03 Å³/atom. As for the magnetization: 0.00 μB/f.u. For the total energy, the calculation gives -5.076 eV/atom.



Record 6
DFT (PBE) results for crystalline MnTlSi2 at its relaxed geometry.

The structure belongs to space group P4/mmm (No. 123); the cell edges are 3.9954, 3.9954 and 4.5919 Å and the angles 90.00°, 90.00° and 90.00°. The inequivalent atoms are Mn at (0.0000, 0.0000, 0.0000), Tl at (0.5000, 0.5000, 0.0000) and Si at (0.0000, 0.5000, 0.5000).

For the density of states at the Fermi level, the calculation gives 0.504 states/eV per atom. The calculation puts the calculated density at 7.15 g/cm3. The calculation puts the volume at 18.33 Å³/atom. As for the uncorrected formation energy: 0.613 eV per atom. As for the magnetization: 3.75 μB/f.u. For the total energy, the calculation gives -4.983 eV/atom. Its energy above the most stable polymorph in this dataset is 0.481 eV per atom.